Entry from the Alexandria database: crystalline TaHg2 at its relaxed geometry (GGA-PBE).

Computed properties:
As for the crystal system: hexagonal. As for the energy of formation from the pure elements: 0.778 eV per atom. The calculation puts the calculated total energy at -3.374 eV/atom.

Cell: 4.8927 4.8927 5.9103 Å, 90.00 90.00 120.00°
Element x y z (fractional)
Hg 0.6667 0.3333 0.7500
Hg 0.0000 0.0000 0.0000
Ta 0.3333 0.6667 0.7500
Hg 0.3333 0.6667 0.2500
Hg 0.0000 0.0000 0.5000
Ta 0.6667 0.3333 0.2500